[1]
Below is a relaxed structure of Na2ICl, with properties calculated at the PBE level.

Cell and atoms, written as POSCAR:
```
Na2ICl
1.0
4.688 0.000 0.000
-2.344 4.060 0.000
0.000 0.000 23.696
Na I Cl
6 3 3
Direct
0.000 0.000 0.000
0.000 0.000 0.479
0.333 0.667 0.146
0.333 0.667 0.667
0.667 0.333 0.333
0.667 0.333 0.813
0.000 0.000 0.610
0.333 0.667 0.277
0.667 0.333 0.943
0.000 0.000 0.113
0.333 0.667 0.780
0.667 0.333 0.447
```

Results
D(E_F)   0.00 states/eV/cell
Space-group type   No. 160
Electronic total energy   -2.960 eV/atom
ΔE_f (raw)   -1.451 eV per atom

[2]
Below is a relaxed structure of NaAl3As4O12, with properties calculated at the PBE level.

Cell and atoms, written as POSCAR:
```
NaAl3As4O12
1.0
5.212 3.009 2.539
-5.212 3.009 2.539
0.000 -6.018 2.539
Na Al As O
1 3 4 12
Direct
0.000 0.000 0.000
0.000 0.578 0.422
0.422 0.000 0.578
0.578 0.422 0.000
0.093 0.500 0.907
0.500 0.500 0.500
0.500 0.907 0.093
0.907 0.093 0.500
0.029 0.282 0.371
0.076 0.924 0.500
0.282 0.371 0.029
0.308 0.692 0.500
0.371 0.029 0.282
0.500 0.076 0.924
0.500 0.308 0.692
0.629 0.718 0.971
0.692 0.500 0.308
0.718 0.971 0.629
0.924 0.500 0.076
0.971 0.629 0.718
```

Results
D(E_F)   8.22 states/eV/cell
Space-group type   No. 155
Electronic total energy   -6.126 eV/atom
ΔE_f (raw)   -1.594 eV per atom

[3]
Below is a relaxed structure of Mg2SbSe, with properties calculated at the PBE level.

Cell and atoms, written as POSCAR:
```
Mg2SbSe
1.0
6.498 0.000 0.000
0.000 7.568 0.000
0.000 0.000 3.698
Mg Sb Se
4 2 2
Direct
0.250 0.250 0.000
0.250 0.750 0.000
0.750 0.250 0.000
0.750 0.750 0.000
0.000 0.000 0.500
0.500 0.500 0.500
0.000 0.500 0.500
0.500 0.000 0.500
```

Results
D(E_F)   3.39 states/eV/cell
Space-group type   No. 65
E above lowest polymorph   385 meV/atom
Electronic total energy   -3.024 eV/atom
ΔE_f (raw)   -0.325 eV per atom